Tb4Hg5Ir2 (PBE-GGA, relaxed); E_form = -0.56 eV per atom; spin magnetization = 0.0 μB/f.u.; SG = P2/m, No. 10
1.0
7.6878 0.0000 0.0000
0.0000 3.6371 0.0000
-0.8253 0.0000 9.5348
Tb Hg Ir
4 5 2
direct
0.1805 0.0000 0.3507
0.2155 0.0000 0.9392
0.7845 0.0000 0.0608
0.8195 0.0000 0.6493
0.1692 0.5000 0.6438
0.4593 0.5000 0.1680
0.5000 0.5000 0.5000
0.5407 0.5000 0.8320
0.8308 0.5000 0.3562
0.0790 0.5000 0.1403
0.9210 0.5000 0.8597



NbHSe2 (PBE-GGA, relaxed); E = -42.4 eV per cell; spin magnetization = 0.0 μB/f.u.; SG = P6_3/mmc, No. 194
1.0
3.3694 0.0000 0.0000
-1.6847 2.9180 0.0000
0.0000 0.0000 13.1015
Nb H Se
2 2 4
direct
0.3333 0.6667 0.2500
0.6667 0.3333 0.7500
0.0000 0.0000 0.0000
0.0000 0.0000 0.5000
0.3333 0.6667 0.6168
0.3333 0.6667 0.8832
0.6667 0.3333 0.1168
0.6667 0.3333 0.3832



ZnI2 (PBE-GGA, relaxed); E = -11.0 eV per cell; SG = C2/c, No. 15
1.0
7.9717 -2.2428 0.0000
7.9717 2.2428 0.0000
-2.9303 0.0000 7.0283
Zn I
2 4
direct
0.0000 0.0000 0.0000
0.0000 0.0000 0.5000
0.0976 0.6443 0.7381
0.3557 0.9024 0.7619
0.6443 0.0976 0.2381
0.9024 0.3557 0.2619



Li2MgSn2HgPd2 (PBE-GGA, relaxed); E = -27.9 eV per cell; SG = P-4m2, No. 115
1.0
4.6445 0.0000 0.0000
0.0000 4.6445 0.0000
0.0000 0.0000 6.6010
Li Mg Sn Hg Pd
2 1 2 1 2
direct
0.0000 0.5000 0.2444
0.5000 0.0000 0.7556
0.0000 0.0000 0.5000
0.0000 0.0000 0.0000
0.5000 0.5000 0.5000
0.5000 0.5000 0.0000
0.0000 0.5000 0.7295
0.5000 0.0000 0.2705



Zr2NbBi (PBE-GGA, relaxed); E = -30.9 eV per cell; spin magnetization = 0.1 μB/f.u.; SG = F-43m, No. 216
1.0
0.0000 3.5122 3.5122
3.5122 0.0000 3.5122
3.5122 3.5122 0.0000
Zr Nb Bi
2 1 1
direct
0.0000 0.0000 0.0000
0.2500 0.2500 0.2500
0.7500 0.7500 0.7500
0.5000 0.5000 0.5000



Ta2Al3W4C3 (PBE-GGA, relaxed); E = -233.2 eV per cell; spin magnetization = 0.0 μB/f.u.; SG = C2/c, No. 15
1.0
4.5705 -2.6418 0.0000
4.5705 2.6418 0.0000
-3.0408 0.0000 13.6509
Ta Al W C
4 6 8 6
direct
0.0318 0.8650 0.5967
0.1350 0.9682 0.9033
0.8650 0.0318 0.0967
0.9682 0.1350 0.4033
0.0822 0.2897 0.7496
0.2897 0.0822 0.2496
0.4543 0.5457 0.7500
0.5457 0.4543 0.2500
0.7103 0.9178 0.7504
0.9178 0.7103 0.2504
0.1952 0.3626 0.0872
0.3055 0.4710 0.4129
0.3626 0.1952 0.5872
0.4710 0.3055 0.9129
0.5290 0.6945 0.0871
0.6374 0.8048 0.4128
0.6945 0.5290 0.5871
0.8048 0.6374 0.9128
0.0000 0.5000 0.5000
0.1626 0.6742 0.0000
0.3258 0.8374 0.5000
0.5000 0.0000 0.0000
0.6742 0.1626 0.5000
0.8374 0.3258 0.0000